Entry 1:
Entry from the Alexandria database: crystalline Mg2BeTe at its relaxed geometry (PBE-GGA).

Values from the calculation:
relative energy among the computed polymorphs = 0.242 eV/atom
space-group type = Cmm2, No. 35

abc: 3.5051 3.5051 8.2431
angles: 90.00 90.00 113.90
With the nearest neighbours (Å) after each atom.
Atoms (fractional coordinates):
Te 0.0000 0.0000 0.5593  2 Be 2.39
Be 0.5000 0.5000 0.7327  2 Te 2.39, 2 Mg 2.65
Mg 0.5000 0.5000 0.2534  2 Mg 3.12, 2 Te 3.16
Mg 0.0000 0.0000 0.9547  2 Be 2.65

Entry 2:
Entry from the Alexandria database: crystalline ErTmS3 at its relaxed geometry (PBE-GGA).

Values from the calculation:
relative energy among the computed polymorphs = 0.000 eV/atom
space-group type = Pnma, No. 62

abc: 7.1006 6.5044 9.9657
angles: 90.00 90.00 90.00
With the nearest neighbours (Å) after each atom.
Atoms (fractional coordinates):
S 0.9356 0.6592 0.2500  2 Tm 2.74, 2 Er 2.74-2.75
S 0.8154 0.1763 0.0836  2 Tm 2.62-2.65, 2 Er 2.74-2.91
Tm 0.5000 0.0000 0.0000  6 S 2.62-2.74
Er 0.4031 0.5437 0.7500  6 S 2.74-2.91
Tm 0.0000 0.5000 0.0000  6 S 2.62-2.74
S 0.8154 0.1763 0.4164  2 Tm 2.62-2.65, 2 Er 2.74-2.91
Er 0.0969 0.0437 0.2500  6 S 2.74-2.91
S 0.1846 0.8237 0.5836  2 Tm 2.62-2.65, 2 Er 2.74-2.91
Er 0.5969 0.4563 0.2500  6 S 2.74-2.91
S 0.1846 0.8237 0.9164  2 Tm 2.62-2.65, 2 Er 2.74-2.91
Tm 0.0000 0.5000 0.5000  6 S 2.62-2.74
S 0.5644 0.1592 0.7500  2 Tm 2.74, 2 Er 2.74-2.75
S 0.3154 0.3237 0.0836  2 Tm 2.62-2.65, 2 Er 2.74-2.91
S 0.4356 0.8408 0.2500  2 Tm 2.74, 2 Er 2.74-2.75
S 0.6846 0.6763 0.9164  2 Tm 2.62-2.65, 2 Er 2.74-2.91
S 0.6846 0.6763 0.5836  2 Tm 2.62-2.65, 2 Er 2.74-2.91
Tm 0.5000 0.0000 0.5000  6 S 2.62-2.74
S 0.3154 0.3237 0.4164  2 Tm 2.62-2.65, 2 Er 2.74-2.91
S 0.0644 0.3408 0.7500  2 Tm 2.74, 2 Er 2.74-2.75
Er 0.9031 0.9563 0.7500  6 S 2.74-2.91

no.,uncorrected formation energy (eV/f.u.)
1,1.0
2,-10.1